# TaTlS2 | Alexandria via LeMat-Bulk | GGA-PBE | optimized geometry
# calculated volume: 21.91 A^3/atom
# raw formation energy: -0.58 eV per atom
# spin magnetization: 0.0 μB per formula unit
# density: 8.52 Mg/m³
data_TaTlS2
_chemical_formula_sum 'Ta4 Tl4 S8'
_symmetry_space_group_name_H-M 'C m c m'
_symmetry_Int_Tables_number 63
_symmetry_space_group_name_Hall '-C 2c 2'
_cell_length_a 3.262
_cell_length_b 29.729
_cell_length_c 3.615
_cell_angle_alpha 90.00
_cell_angle_beta 90.00
_cell_angle_gamma 90.00
loop_
_atom_site_label
_atom_site_type_symbol
_atom_site_fract_x
_atom_site_fract_y
_atom_site_fract_z
Ta1 Ta 0.000 0.191 0.250
Tl1 Tl 0.000 0.452 0.250
S1 S 0.000 0.281 0.250
S2 S 0.000 0.369 0.750


# Ca3TlP | Alexandria via LeMat-Bulk | GGA-PBE | optimized geometry
# calculated volume: 33.04 A^3/atom
# energy above the most stable polymorph in this dataset: 83 meV per atom
# spin magnetization: 0.0 μB per formula unit
# density: 3.57 Mg/m³
# calculated formation energy: -3.19 eV per formula unit
data_Ca3TlP
_chemical_formula_sum 'Ca3 Tl1 P1'
_symmetry_space_group_name_H-M 'P m -3 m'
_symmetry_Int_Tables_number 221
_symmetry_space_group_name_Hall '-P 4 2 3'
_cell_length_a 5.487
_cell_length_b 5.487
_cell_length_c 5.487
_cell_angle_alpha 90.00
_cell_angle_beta 90.00
_cell_angle_gamma 90.00
loop_
_atom_site_label
_atom_site_type_symbol
_atom_site_fract_x
_atom_site_fract_y
_atom_site_fract_z
Ca1 Ca 0.000 0.000 0.500
Tl1 Tl 0.500 0.500 0.500
P1 P 0.000 0.000 0.000


# TlGa2Cu2 | Alexandria via LeMat-Bulk | GGA-PBE | optimized geometry
# calculated volume: 17.50 A^3/atom
# energy above the most stable polymorph in this dataset: 34 meV per atom
# spin magnetization: 0.0 μB per formula unit
# density: 8.94 Mg/m³
# calculated formation energy: 0.60 eV per formula unit
data_TlGa2Cu2
_chemical_formula_sum 'Tl2 Ga4 Cu4'
_symmetry_space_group_name_H-M 'P 4/m b m'
_symmetry_Int_Tables_number 127
_symmetry_space_group_name_Hall '-P 4 2ab'
_cell_length_a 7.707
_cell_length_b 7.707
_cell_length_c 2.946
_cell_angle_alpha 90.00
_cell_angle_beta 90.00
_cell_angle_gamma 90.00
loop_
_atom_site_label
_atom_site_type_symbol
_atom_site_fract_x
_atom_site_fract_y
_atom_site_fract_z
Tl1 Tl 0.000 0.000 0.000
Ga1 Ga 0.168 0.332 0.500
Cu1 Cu 0.122 0.622 0.000


# Mg2NiIr | Alexandria via LeMat-Bulk | GGA-PBE | optimized geometry
# calculated volume: 15.13 A^3/atom
# spin magnetization: 0.0 μB per formula unit
# density: 8.22 Mg/m³
# calculated formation energy: -0.80 eV per formula unit
data_Mg2NiIr
_chemical_formula_sum 'Mg4 Ni2 Ir2'
_symmetry_space_group_name_H-M 'I m m 2'
_symmetry_Int_Tables_number 44
_symmetry_space_group_name_Hall 'I 2 -2'
_cell_length_a 3.023
_cell_length_b 4.369
_cell_length_c 9.161
_cell_angle_alpha 90.00
_cell_angle_beta 90.00
_cell_angle_gamma 90.00
loop_
_atom_site_label
_atom_site_type_symbol
_atom_site_fract_x
_atom_site_fract_y
_atom_site_fract_z
Mg1 Mg 0.000 0.000 0.000
Mg2 Mg 0.000 0.500 0.219
Ni1 Ni 0.000 0.500 0.743
Ir1 Ir 0.000 0.000 0.464


# K2NpInF8 | Alexandria via LeMat-Bulk | GGA-PBE | optimized geometry
# calculated volume: 16.00 A^3/atom
# raw formation energy: -2.93 eV per atom
# spin magnetization: 3.8 μB per formula unit
# density: 5.03 Mg/m³
data_K2NpInF8
_chemical_formula_sum 'K4 Np2 In2 F16'
_symmetry_space_group_name_H-M 'I -4 m 2'
_symmetry_Int_Tables_number 119
_symmetry_space_group_name_Hall 'I -4 -2'
_cell_length_a 5.895
_cell_length_b 5.895
_cell_length_c 11.053
_cell_angle_alpha 90.00
_cell_angle_beta 90.00
_cell_angle_gamma 90.00
loop_
_atom_site_label
_atom_site_type_symbol
_atom_site_fract_x
_atom_site_fract_y
_atom_site_fract_z
K1 K 0.000 0.000 0.000
K2 K 0.000 0.500 0.250
Np1 Np 0.000 0.500 0.750
In1 In 0.000 0.000 0.500
F1 F 0.209 0.249 0.624


# NaPdO2 | Alexandria via LeMat-Bulk | GGA-PBE | optimized geometry
# calculated volume: 10.50 A^3/atom
# raw formation energy: -0.31 eV per atom
# spin magnetization: 0.0 μB per formula unit
# density: 6.38 Mg/m³
data_NaPdO2
_chemical_formula_sum 'Na4 Pd4 O8'
_symmetry_space_group_name_H-M 'F m -3 m'
_symmetry_Int_Tables_number 225
_symmetry_space_group_name_Hall '-F 4 2 3'
_cell_length_a 5.517
_cell_length_b 5.517
_cell_length_c 5.517
_cell_angle_alpha 90.00
_cell_angle_beta 90.00
_cell_angle_gamma 90.00
loop_
_atom_site_label
_atom_site_type_symbol
_atom_site_fract_x
_atom_site_fract_y
_atom_site_fract_z
Na1 Na 0.000 0.000 0.000
Pd1 Pd 0.000 0.000 0.500
O1 O 0.250 0.250 0.250


# YMg2Al | Alexandria via LeMat-Bulk | GGA-PBE | optimized geometry
# calculated volume: 23.63 A^3/atom
# spin magnetization: 0.0 μB per formula unit
# density: 2.89 Mg/m³
# calculated formation energy: -0.32 eV per formula unit
data_YMg2Al
_chemical_formula_sum 'Y1 Mg2 Al1'
_symmetry_space_group_name_H-M 'P 1 2/m 1'
_symmetry_Int_Tables_number 10
_symmetry_space_group_name_Hall '-P 2y'
_cell_length_a 3.282
_cell_length_b 4.947
_cell_length_c 5.916
_cell_angle_alpha 90.00
_cell_angle_beta 100.30
_cell_angle_gamma 90.00
loop_
_atom_site_label
_atom_site_type_symbol
_atom_site_fract_x
_atom_site_fract_y
_atom_site_fract_z
Y1 Y 0.000 0.000 0.000
Mg1 Mg 0.359 0.500 0.733
Al1 Al 0.500 0.000 0.500


# Y2MnGa4Ni3 | Alexandria via LeMat-Bulk | GGA-PBE | optimized geometry
# calculated volume: 16.73 A^3/atom
# spin magnetization: 2.9 μB per formula unit
# density: 6.83 Mg/m³
# calculated formation energy: -5.06 eV per formula unit
data_Y2MnGa4Ni3
_chemical_formula_sum 'Y2 Mn1 Ga4 Ni3'
_symmetry_space_group_name_H-M 'P -4 m 2'
_symmetry_Int_Tables_number 115
_symmetry_space_group_name_Hall 'P -4 -2'
_cell_length_a 3.973
_cell_length_b 3.973
_cell_length_c 10.600
_cell_angle_alpha 90.00
_cell_angle_beta 90.00
_cell_angle_gamma 90.00
loop_
_atom_site_label
_atom_site_type_symbol
_atom_site_fract_x
_atom_site_fract_y
_atom_site_fract_z
Y1 Y 0.000 0.500 0.243
Mn1 Mn 0.000 0.000 0.500
Ga1 Ga 0.000 0.000 0.000
Ga2 Ga 0.000 0.500 0.641
Ga3 Ga 0.500 0.500 0.000
Ni1 Ni 0.000 0.500 0.866
Ni2 Ni 0.500 0.500 0.500


# TcWSe2N | Alexandria via LeMat-Bulk | GGA-PBE | optimized geometry
# calculated volume: 18.44 A^3/atom
# raw formation energy: 0.97 eV per atom
# energy above the most stable polymorph in this dataset: 247 meV per atom
# spin magnetization: 3.1 μB per formula unit
# density: 8.17 Mg/m³
data_TcWSe2N
_chemical_formula_sum 'Tc1 W1 Se2 N1'
_symmetry_space_group_name_H-M 'P 4/m m m'
_symmetry_Int_Tables_number 123
_symmetry_space_group_name_Hall '-P 4 2'
_cell_length_a 5.023
_cell_length_b 5.023
_cell_length_c 3.655
_cell_angle_alpha 90.00
_cell_angle_beta 90.00
_cell_angle_gamma 90.00
loop_
_atom_site_label
_atom_site_type_symbol
_atom_site_fract_x
_atom_site_fract_y
_atom_site_fract_z
Tc1 Tc 0.000 0.000 0.000
W1 W 0.500 0.500 0.500
Se1 Se 0.000 0.500 0.000
N1 N 0.000 0.000 0.500


# ThBi2Ru | Alexandria via LeMat-Bulk | GGA-PBE | optimized geometry
# calculated volume: 27.22 A^3/atom
# spin magnetization: 0.0 μB per formula unit
# density: 11.45 Mg/m³
# calculated formation energy: 2.03 eV per formula unit
data_ThBi2Ru
_chemical_formula_sum 'Th3 Bi6 Ru3'
_symmetry_space_group_name_H-M 'R -3 m'
_symmetry_Int_Tables_number 166
_symmetry_space_group_name_Hall '-R 3 2"'
_cell_length_a 3.3900
_cell_length_b 3.3900
_cell_length_c 32.8260
_cell_angle_alpha 90.00
_cell_angle_beta 90.00
_cell_angle_gamma 120.00
loop_
_atom_site_label
_atom_site_type_symbol
_atom_site_fract_x
_atom_site_fract_y
_atom_site_fract_z
Th1 Th 0.0000 0.0000 0.0000
Bi1 Bi 0.0000 0.0000 0.4202
Ru1 Ru 0.0000 0.0000 0.5000


# SiRhI3 | Alexandria via LeMat-Bulk | GGA-PBE | optimized geometry
# calculated volume: 34.31 A^3/atom
# raw formation energy: 0.81 eV per atom
# energy above the most stable polymorph in this dataset: 279 meV per atom
# spin magnetization: 2.0 μB per formula unit
# density: 4.95 Mg/m³
data_SiRhI3
_chemical_formula_sum 'Si1 Rh1 I3'
_symmetry_space_group_name_H-M 'P m -3 m'
_symmetry_Int_Tables_number 221
_symmetry_space_group_name_Hall '-P 4 2 3'
_cell_length_a 5.556
_cell_length_b 5.556
_cell_length_c 5.556
_cell_angle_alpha 90.00
_cell_angle_beta 90.00
_cell_angle_gamma 90.00
loop_
_atom_site_label
_atom_site_type_symbol
_atom_site_fract_x
_atom_site_fract_y
_atom_site_fract_z
Si1 Si 0.000 0.000 0.000
Rh1 Rh 0.500 0.500 0.500
I1 I 0.000 0.000 0.500


# MnSiSb2 | Alexandria via LeMat-Bulk | GGA-PBE | optimized geometry
# calculated volume: 21.30 A^3/atom
# raw formation energy: 0.08 eV per atom
# spin magnetization: 0.0 μB per formula unit
# density: 6.36 Mg/m³
data_MnSiSb2
_chemical_formula_sum 'Mn3 Si3 Sb6'
_symmetry_space_group_name_H-M 'R 3 m'
_symmetry_Int_Tables_number 160
_symmetry_space_group_name_Hall 'R 3 -2"'
_cell_length_a 3.9094
_cell_length_b 3.9094
_cell_length_c 19.3082
_cell_angle_alpha 90.00
_cell_angle_beta 90.00
_cell_angle_gamma 120.00
loop_
_atom_site_label
_atom_site_type_symbol
_atom_site_fract_x
_atom_site_fract_y
_atom_site_fract_z
Mn1 Mn 0.0000 0.0000 0.0000
Si1 Si 0.0000 0.0000 0.6664
Sb1 Sb 0.0000 0.0000 0.2415
Sb2 Sb 0.0000 0.0000 0.4251


# La5PmNd7 | Alexandria via LeMat-Bulk | GGA-PBE | optimized geometry
# calculated volume: 36.40 A^3/atom
# spin magnetization: 0.0 μB per formula unit
# density: 6.49 Mg/m³
# calculated formation energy: 2.67 eV per formula unit
data_La5PmNd7
_chemical_formula_sum 'La10 Pm2 Nd14'
_symmetry_space_group_name_H-M 'I m m 2'
_symmetry_Int_Tables_number 44
_symmetry_space_group_name_Hall 'I 2 -2'
_cell_length_a 6.984
_cell_length_b 11.135
_cell_length_c 12.169
_cell_angle_alpha 90.00
_cell_angle_beta 90.00
_cell_angle_gamma 90.00
loop_
_atom_site_label
_atom_site_type_symbol
_atom_site_fract_x
_atom_site_fract_y
_atom_site_fract_z
La1 La 0.000 0.000 0.000
La2 La 0.223 0.280 0.549
Pm1 Pm 0.000 0.500 0.747
Nd1 Nd 0.000 0.000 0.522
Nd2 Nd 0.000 0.170 0.285
Nd3 Nd 0.000 0.179 0.785
Nd4 Nd 0.000 0.500 0.043
Nd5 Nd 0.000 0.500 0.337


# SiMoHRu2 | Alexandria via LeMat-Bulk | GGA-PBE | optimized geometry
# calculated volume: 11.80 A^3/atom
# calculated total energy: -37.95 eV/cell
# spin magnetization: 0.0 μB per formula unit
# density: 9.21 Mg/m³
data_SiMoHRu2
_chemical_formula_sum 'Si1 Mo1 H1 Ru2'
_symmetry_space_group_name_H-M 'P 4/m m m'
_symmetry_Int_Tables_number 123
_symmetry_space_group_name_Hall '-P 4 2'
_cell_length_a 3.917
_cell_length_b 3.917
_cell_length_c 3.844
_cell_angle_alpha 90.00
_cell_angle_beta 90.00
_cell_angle_gamma 90.00
loop_
_atom_site_label
_atom_site_type_symbol
_atom_site_fract_x
_atom_site_fract_y
_atom_site_fract_z
Si1 Si 0.000 0.000 0.000
Mo1 Mo 0.500 0.500 0.000
H1 H 0.500 0.500 0.500
Ru1 Ru 0.000 0.500 0.500


# Ac3Mg4Cd4 | Alexandria via LeMat-Bulk | GGA-PBE | optimized geometry
# calculated volume: 29.07 A^3/atom
# spin magnetization: 0.4 μB per formula unit
# density: 6.38 Mg/m³
# calculated formation energy: -2.43 eV per formula unit
data_Ac3Mg4Cd4
_chemical_formula_sum 'Ac6 Mg8 Cd8'
_symmetry_space_group_name_H-M 'I m m m'
_symmetry_Int_Tables_number 71
_symmetry_space_group_name_Hall '-I 2 2'
_cell_length_a 4.912
_cell_length_b 8.046
_cell_length_c 16.184
_cell_angle_alpha 90.00
_cell_angle_beta 90.00
_cell_angle_gamma 90.00
loop_
_atom_site_label
_atom_site_type_symbol
_atom_site_fract_x
_atom_site_fract_y
_atom_site_fract_z
Ac1 Ac 0.000 0.000 0.000
Ac2 Ac 0.000 0.500 0.124
Mg1 Mg 0.000 0.309 0.326
Cd1 Cd 0.000 0.000 0.219
Cd2 Cd 0.000 0.191 0.500


# La2Cu | Alexandria via LeMat-Bulk | GGA-PBE | optimized geometry
# calculated volume: 30.68 A^3/atom
# spin magnetization: 1.5 μB per formula unit
# density: 6.16 Mg/m³
# calculated formation energy: 0.28 eV per formula unit
data_La2Cu
_chemical_formula_sum 'La8 Cu4'
_symmetry_space_group_name_H-M 'F m -3 m'
_symmetry_Int_Tables_number 225
_symmetry_space_group_name_Hall '-F 4 2 3'
_cell_length_a 7.167
_cell_length_b 7.167
_cell_length_c 7.167
_cell_angle_alpha 90.00
_cell_angle_beta 90.00
_cell_angle_gamma 90.00
loop_
_atom_site_label
_atom_site_type_symbol
_atom_site_fract_x
_atom_site_fract_y
_atom_site_fract_z
La1 La 0.250 0.250 0.250
Cu1 Cu 0.000 0.000 0.000


# Hf2Ti2Hg | Alexandria via LeMat-Bulk | GGA-PBE | optimized geometry
# calculated volume: 21.18 A^3/atom
# energy above the most stable polymorph in this dataset: 565 meV per atom
# spin magnetization: 0.0 μB per formula unit
# density: 10.24 Mg/m³
# calculated formation energy: 2.67 eV per formula unit
data_Hf2Ti2Hg
_chemical_formula_sum 'Hf4 Ti4 Hg2'
_symmetry_space_group_name_H-M 'I 4/m m m'
_symmetry_Int_Tables_number 139
_symmetry_space_group_name_Hall '-I 4 2'
_cell_length_a 4.092
_cell_length_b 4.092
_cell_length_c 12.649
_cell_angle_alpha 90.00
_cell_angle_beta 90.00
_cell_angle_gamma 90.00
loop_
_atom_site_label
_atom_site_type_symbol
_atom_site_fract_x
_atom_site_fract_y
_atom_site_fract_z
Hf1 Hf 0.000 0.500 0.250
Ti1 Ti 0.000 0.000 0.086
Hg1 Hg 0.000 0.000 0.500


# Re2Mo | Alexandria via LeMat-Bulk | GGA-PBE | optimized geometry
# calculated volume: 15.47 A^3/atom
# energy above the most stable polymorph in this dataset: 197 meV per atom
# spin magnetization: 0.0 μB per formula unit
# density: 16.75 Mg/m³
# calculated formation energy: 0.94 eV per formula unit
data_Re2Mo
_chemical_formula_sum 'Re4 Mo2'
_symmetry_space_group_name_H-M 'P 63/m m c'
_symmetry_Int_Tables_number 194
_symmetry_space_group_name_Hall '-P 6c 2c'
_cell_length_a 4.4497
_cell_length_b 4.4497
_cell_length_c 5.4147
_cell_angle_alpha 90.00
_cell_angle_beta 90.00
_cell_angle_gamma 120.00
loop_
_atom_site_label
_atom_site_type_symbol
_atom_site_fract_x
_atom_site_fract_y
_atom_site_fract_z
Re1 Re 0.0000 0.0000 0.0000
Re2 Re 0.3333 0.6667 0.2500
Mo1 Mo 0.3333 0.6667 0.7500


# Pr2Dy5Er | Alexandria via LeMat-Bulk | GGA-PBE | optimized geometry
# calculated volume: 32.43 A^3/atom
# energy above the most stable polymorph in this dataset: 0 meV per atom
# spin magnetization: 0.0 μB per formula unit
# density: 8.07 Mg/m³
# calculated formation energy: 0.17 eV per formula unit
data_Pr2Dy5Er
_chemical_formula_sum 'Pr4 Dy10 Er2'
_symmetry_space_group_name_H-M 'P b a m'
_symmetry_Int_Tables_number 55
_symmetry_space_group_name_Hall '-P 2 2ab'
_cell_length_a 7.159
_cell_length_b 14.323
_cell_length_c 5.060
_cell_angle_alpha 90.00
_cell_angle_beta 90.00
_cell_angle_gamma 90.00
loop_
_atom_site_label
_atom_site_type_symbol
_atom_site_fract_x
_atom_site_fract_y
_atom_site_fract_z
Pr1 Pr 0.249 0.125 0.000
Dy1 Dy 0.000 0.500 0.500
Dy2 Dy 0.001 0.750 0.500
Dy3 Dy 0.249 0.375 0.000
Er1 Er 0.000 0.000 0.500


# Sr2C2ClO6 | Alexandria via LeMat-Bulk | GGA-PBE | optimized geometry
# calculated volume: 15.01 A^3/atom
# raw formation energy: -2.00 eV per atom
# spin magnetization: 1.0 μB per formula unit
# density: 3.33 Mg/m³
data_Sr2C2ClO6
_chemical_formula_sum 'Sr2 C2 Cl1 O6'
_symmetry_space_group_name_H-M 'P -1'
_symmetry_Int_Tables_number 2
_symmetry_space_group_name_Hall '-P 1'
_cell_length_a 4.589
_cell_length_b 6.179
_cell_length_c 6.191
_cell_angle_alpha 86.85
_cell_angle_beta 75.91
_cell_angle_gamma 75.94
loop_
_atom_site_label
_atom_site_type_symbol
_atom_site_fract_x
_atom_site_fract_y
_atom_site_fract_z
Sr1 Sr 0.001 0.248 0.251
C1 C 0.391 0.181 0.680
Cl1 Cl 0.500 0.500 0.000
O1 O 0.240 0.347 0.584
O2 O 0.242 0.084 0.846
O3 O 0.316 0.891 0.392